Computed, not measured: a relaxed Ac2TbAlO6 crystal at the GGA-PBE level of DFT.

Structure (POSCAR):
```
Ac2TbAlO6
1.0
4.2261 0.0000 0.0000
0.0000 4.2261 0.0000
0.0000 0.0000 8.0582
Ac Tb Al O
2 1 1 6
direct
0.0000 0.0000 0.2336 Ac
0.0000 0.0000 0.7664 Ac
0.5000 0.5000 0.5000 Tb
0.5000 0.5000 0.0000 Al
0.0000 0.5000 0.0000 O
0.0000 0.5000 0.5000 O
0.5000 0.0000 0.0000 O
0.5000 0.0000 0.5000 O
0.5000 0.5000 0.2223 O
0.5000 0.5000 0.7777 O
```

Values from the calculation:
- Total energy: -7.756 eV/atom
- Total magnetic moment: 0.0000 μB/atom
- Theoretical density: 8.5 g/cm3
- Space-group type: P4/mmm (123)

Computed, not measured: a relaxed Ca2BeBr crystal at the GGA-PBE level of DFT.

Structure (POSCAR):
```
Ca2BeBr
1.0
-3.8276 3.8276 4.1224
3.8276 -3.8276 4.1224
3.8276 3.8276 -4.1224
Ca Be Br
4 2 2
direct
0.1118 0.6250 0.9868 Ca
0.3750 0.3618 0.4868 Ca
0.6382 0.1250 0.0132 Ca
0.8750 0.8882 0.5132 Ca
0.0000 0.0000 0.0000 Be
0.7500 0.2500 0.5000 Be
0.2500 0.7500 0.5000 Br
0.5000 0.5000 0.0000 Br
```

Values from the calculation:
- Total energy: -2.581 eV/atom
- Total magnetic moment: 0.0000 μB/atom
- Excess energy over the best structure of this formula in the dataset: 0.922 eV per formula unit
- Theoretical density: 2.3 g/cm3
- Space-group type: I-42d (122)

Computed, not measured: a relaxed BaPrCl5 crystal at the GGA-PBE level of DFT.

Structure (POSCAR):
```
BaPrCl5
1.0
2.7938 -9.9481 0.0000
2.7938 9.9481 0.0000
-0.4363 0.0000 7.0576
Ba Pr Cl
2 2 10
direct
0.1745 0.8255 0.7500 Ba
0.8255 0.1745 0.2500 Ba
0.4228 0.5772 0.7500 Pr
0.5772 0.4228 0.2500 Pr
0.1267 0.8733 0.2500 Cl
0.2212 0.2919 0.3985 Cl
0.2919 0.2212 0.8985 Cl
0.3033 0.6840 0.0030 Cl
0.3160 0.6967 0.4970 Cl
0.6840 0.3033 0.5030 Cl
0.6967 0.3160 0.9970 Cl
0.7081 0.7788 0.1015 Cl
0.7788 0.7081 0.6015 Cl
0.8733 0.1267 0.7500 Cl
```

Values from the calculation:
- Total energy: -4.673 eV/atom
- Total magnetic moment: 0.0000 μB/atom
- Theoretical density: 3.9 g/cm3
- Space-group type: C2/c (15)

Computed, not measured: a relaxed Hg2HRh2 crystal at the GGA-PBE level of DFT.

Structure (POSCAR):
```
Hg2HRh2
1.0
5.5531 0.0000 0.0000
0.0000 5.5531 0.0000
0.0000 0.0000 4.9255
Hg H Rh
4 2 4
direct
0.1755 0.3245 0.0000 Hg
0.3245 0.8245 0.0000 Hg
0.6755 0.1755 0.0000 Hg
0.8245 0.6755 0.0000 Hg
0.0000 0.0000 0.5000 H
0.5000 0.5000 0.5000 H
0.1767 0.6767 0.5000 Rh
0.3233 0.1767 0.5000 Rh
0.6767 0.8233 0.5000 Rh
0.8233 0.3233 0.5000 Rh
```

Values from the calculation:
- Total energy: -3.506 eV/atom
- Total magnetic moment: 0.0000 μB/atom
- Theoretical density: 13.3 g/cm3
- Space-group type: P4/mbm (127)

Computed, not measured: a relaxed SrSm2Tl3S6 crystal at the GGA-PBE level of DFT.

Structure (POSCAR):
```
SrSm2Tl3S6
1.0
3.6463 -6.3090 0.0000
3.6463 6.3090 0.0000
-2.4299 0.0000 7.2312
Sr Sm Tl S
1 2 3 6
direct
0.0000 0.0000 0.0000 Sr
0.3325 0.6675 0.0000 Sm
0.6675 0.3325 0.0000 Sm
0.1642 0.8358 0.5000 Tl
0.5000 0.5000 0.5000 Tl
0.8358 0.1642 0.5000 Tl
0.0720 0.4236 0.2142 S
0.2824 0.2824 0.7908 S
0.4236 0.0720 0.2142 S
0.5764 0.9280 0.7858 S
0.7176 0.7176 0.2092 S
0.9280 0.5764 0.7858 S
```

Values from the calculation:
- Total energy: -4.910 eV/atom
- Total magnetic moment: 0.0000 μB/atom
- Theoretical density: 6.0 g/cm3
- Space-group type: C2/m (12)

Computed, not measured: a relaxed CaPt2Br crystal at the GGA-PBE level of DFT.

Structure (POSCAR):
```
CaPt2Br
1.0
3.1431 0.0000 0.0000
0.0000 4.5124 0.0000
0.0000 0.0000 5.6521
Ca Pt Br
1 2 1
direct
0.0000 0.0000 0.0000 Ca
0.5000 0.5000 0.2395 Pt
0.5000 0.5000 0.7605 Pt
0.0000 0.0000 0.5000 Br
```

Values from the calculation:
- Total energy: -4.174 eV/atom
- Total magnetic moment: 0.0000 μB/atom
- Excess energy over the best structure of this formula in the dataset: 1.957 eV per formula unit
- Theoretical density: 10.6 g/cm3
- Space-group type: Pmmm (47)

Computed, not measured: a relaxed KHg2As crystal at the GGA-PBE level of DFT.

Structure (POSCAR):
```
KHg2As
1.0
6.5533 -1.6052 0.0000
6.5533 1.6052 0.0000
-0.0156 0.0000 5.1460
K Hg As
1 2 1
direct
0.0000 0.0000 0.0000 K
0.3546 0.3546 0.4991 Hg
0.6283 0.6283 0.5007 Hg
0.2646 0.2646 0.9986 As
```

Values from the calculation:
- Total energy: -1.669 eV/atom
- Total magnetic moment: 0.0000 μB/atom
- Theoretical density: 7.9 g/cm3
- Space-group type: Cm (8)
- Formation energy from the elements: -31 kJ/mol of formula units

Computed, not measured: a relaxed Si2AuC crystal at the GGA-PBE level of DFT.

Structure (POSCAR):
```
Si2AuC
1.0
2.8792 0.0000 0.0000
0.0000 3.4539 0.0000
0.0000 0.0000 6.0726
Si Au C
2 1 1
direct
0.0000 0.0000 0.2024 Si
0.0000 0.0000 0.7976 Si
0.0000 0.5000 0.5000 Au
0.5000 0.0000 0.0000 C
```

Values from the calculation:
- Total energy: -5.523 eV/atom
- Total magnetic moment: 0.0000 μB/atom
- Theoretical density: 7.3 g/cm3
- Space-group type: Pmmm (47)

Computed, not measured: a relaxed NaAsPdO4 crystal at the GGA-PBE level of DFT.

Structure (POSCAR):
```
NaAsPdO4
1.0
3.0590 -4.5707 0.0000
3.0590 4.5707 0.0000
0.0000 0.0000 6.7091
Na As Pd O
2 2 2 8
direct
0.0000 0.0000 0.0000 Na
0.0000 0.0000 0.5000 Na
0.3736 0.6264 0.7500 As
0.6264 0.3736 0.2500 As
0.2962 0.7038 0.2500 Pd
0.7038 0.2962 0.7500 Pd
0.2566 0.7434 0.5469 O
0.2566 0.7434 0.9531 O
0.2638 0.2872 0.7500 O
0.2872 0.2638 0.2500 O
0.7128 0.7362 0.7500 O
0.7362 0.7128 0.2500 O
0.7434 0.2566 0.0469 O
0.7434 0.2566 0.4531 O
```

Values from the calculation:
- Total energy: -5.426 eV/atom
- Total magnetic moment: 0.0000 μB/atom
- Theoretical density: 4.7 g/cm3
- Space-group type: Cmcm (63)

Computed, not measured: a relaxed CeFeCu2 crystal at the GGA-PBE level of DFT.

Structure (POSCAR):
```
CeFeCu2
1.0
2.1324 -4.5366 0.0000
2.1324 4.5366 0.0000
0.0000 0.0000 6.7945
Ce Fe Cu
2 2 4
direct
0.0540 0.9460 0.7500 Ce
0.9460 0.0540 0.2500 Ce
0.1781 0.8219 0.2500 Fe
0.8219 0.1781 0.7500 Fe
0.3379 0.6621 0.5546 Cu
0.3379 0.6621 0.9454 Cu
0.6621 0.3379 0.0546 Cu
0.6621 0.3379 0.4454 Cu
```

Values from the calculation:
- Total energy: -5.712 eV/atom
- Total magnetic moment: 0.1687 μB/atom
- Theoretical density: 8.2 g/cm3
- Space-group type: Cmcm (63)
- Formation energy from the elements: -25 kJ/mol of formula units

Computed, not measured: a relaxed Rb2HfI6N crystal at the GGA-PBE level of DFT.

Structure (POSCAR):
```
Rb2HfI6N
1.0
0.0000 6.0141 6.0141
6.0141 0.0000 6.0141
6.0141 6.0141 0.0000
Rb Hf I N
2 1 6 1
direct
0.2500 0.2500 0.2500 Rb
0.7500 0.7500 0.7500 Rb
0.0000 0.0000 0.0000 Hf
0.2375 0.2375 0.7625 I
0.2375 0.7625 0.2375 I
0.2375 0.7625 0.7625 I
0.7625 0.2375 0.2375 I
0.7625 0.2375 0.7625 I
0.7625 0.7625 0.2375 I
0.5000 0.5000 0.5000 N
```

Values from the calculation:
- Total energy: -3.501 eV/atom
- Total magnetic moment: 0.3000 μB/atom
- Theoretical density: 4.3 g/cm3
- Space-group type: Fm-3m (225)

Computed, not measured: a relaxed BaZr2Rh crystal at the GGA-PBE level of DFT.

Structure (POSCAR):
```
BaZr2Rh
1.0
3.4009 0.0000 0.0000
0.0000 5.2399 0.0000
0.0000 0.0000 5.2861
Ba Zr Rh
1 2 1
direct
0.0000 0.0000 0.0000 Ba
0.0000 0.5000 0.5000 Zr
0.5000 0.5000 0.0000 Zr
0.5000 0.0000 0.5000 Rh
```

Values from the calculation:
- Total energy: -6.239 eV/atom
- Total magnetic moment: 0.0000 μB/atom
- Excess energy over the best structure of this formula in the dataset: 1.794 eV per formula unit
- Theoretical density: 7.5 g/cm3
- Space-group type: Pmmm (47)
- Formation energy from the elements: 136 kJ/mol of formula units

Computed, not measured: a relaxed KMgCr2 crystal at the GGA-PBE level of DFT.

Structure (POSCAR):
```
KMgCr2
1.0
1.5112 0.8725 10.0977
-1.5112 0.8725 10.0977
0.0000 -1.7449 10.0977
K Mg Cr
1 1 2
direct
0.0000 0.0000 0.0000 K
0.2233 0.2233 0.2233 Mg
0.4791 0.4791 0.4791 Cr
0.7656 0.7656 0.7656 Cr
```

Values from the calculation:
- Total energy: -4.700 eV/atom
- Total magnetic moment: 0.0001 μB/atom
- Theoretical density: 3.5 g/cm3
- Space-group type: R3m (160)
- Formation energy from the elements: 303 kJ/mol of formula units

Computed, not measured: a relaxed Li2MgAs crystal at the GGA-PBE level of DFT.

Structure (POSCAR):
```
Li2MgAs
1.0
4.3512 0.0000 0.0000
0.0000 2.2001 8.4341
0.0000 -2.2001 8.4341
Li Mg As
4 2 2
direct
0.0000 0.0000 0.0000 Li
0.0000 0.1693 0.1693 Li
0.0000 0.8186 0.8186 Li
0.5000 0.6767 0.6767 Li
0.5000 0.3127 0.3127 Mg
0.5000 0.5032 0.5032 Mg
0.0000 0.5930 0.5930 As
0.5000 0.9060 0.9060 As
```

Values from the calculation:
- Total energy: -3.027 eV/atom
- Total magnetic moment: 0.0000 μB/atom
- Excess energy over the best structure of this formula in the dataset: 0.105 eV per formula unit
- Theoretical density: 2.3 g/cm3
- Space-group type: Amm2 (38)
- Formation energy from the elements: -196 kJ/mol of formula units

Computed, not measured: a relaxed MnFe2Hg crystal at the GGA-PBE level of DFT.

Structure (POSCAR):
```
MnFe2Hg
1.0
-1.9060 1.9060 4.0515
1.9060 -1.9060 4.0515
1.9060 1.9060 -4.0515
Mn Fe Hg
1 2 1
direct
0.0000 0.0000 0.0000 Mn
0.2500 0.7500 0.5000 Fe
0.7500 0.2500 0.5000 Fe
0.5000 0.5000 0.0000 Hg
```

Values from the calculation:
- Total energy: -6.215 eV/atom
- Total magnetic moment: 2.2102 μB/atom
- Theoretical density: 10.4 g/cm3
- Space-group type: I4/mmm (139)
- Formation energy from the elements: 148 kJ/mol of formula units

Computed, not measured: a relaxed Cs4AuIBr2 crystal at the GGA-PBE level of DFT.

Structure (POSCAR):
```
Cs4AuIBr2
1.0
9.2016 0.0000 0.0000
0.0000 5.2994 0.0000
-3.0523 0.0000 8.7141
Cs Au I Br
4 1 1 2
direct
0.2400 0.0000 0.2385 Cs
0.2471 0.5000 0.7579 Cs
0.7529 0.5000 0.2421 Cs
0.7600 0.0000 0.7615 Cs
0.0000 0.0000 0.5000 Au
0.5000 0.5000 0.5000 I
0.0000 0.5000 0.0000 Br
0.5000 0.0000 0.0000 Br
```

Values from the calculation:
- Total energy: -2.805 eV/atom
- Total magnetic moment: 0.0000 μB/atom
- Theoretical density: 4.0 g/cm3
- Space-group type: P2/m (10)

Computed, not measured: a relaxed Na3Tm2SbO6 crystal at the GGA-PBE level of DFT.

Structure (POSCAR):
```
Na3Tm2SbO6
1.0
2.9426 -5.0945 0.0000
2.9426 5.0945 0.0000
-1.9674 0.0000 5.5780
Na Tm Sb O
3 2 1 6
direct
0.0000 0.0000 0.0000 Na
0.3358 0.6642 0.0000 Na
0.6642 0.3358 0.0000 Na
0.1668 0.8332 0.5000 Tm
0.8332 0.1668 0.5000 Tm
0.5000 0.5000 0.5000 Sb
0.0844 0.4290 0.2878 O
0.2263 0.2263 0.7137 O
0.4290 0.0844 0.2878 O
0.5710 0.9156 0.7122 O
0.7737 0.7737 0.2863 O
0.9156 0.5710 0.7122 O
```

Values from the calculation:
- Total energy: -6.244 eV/atom
- Total magnetic moment: 0.0000 μB/atom
- Theoretical density: 6.2 g/cm3
- Space-group type: C2/m (12)

Computed, not measured: a relaxed CrFeRe crystal at the GGA-PBE level of DFT.

Structure (POSCAR):
```
CrFeRe
1.0
2.6317 0.0000 0.0000
-1.3159 2.2791 0.0000
0.0000 0.0000 6.3342
Cr Fe Re
1 1 1
direct
0.0000 0.0000 0.0000 Cr
0.6667 0.3333 0.2996 Fe
0.3333 0.6667 0.6432 Re
```

Values from the calculation:
- Total energy: -9.942 eV/atom
- Total magnetic moment: 0.0000 μB/atom
- Excess energy over the best structure of this formula in the dataset: 0.815 eV per formula unit
- Theoretical density: 12.9 g/cm3
- Space-group type: P3m1 (156)
- Formation energy from the elements: 68 kJ/mol of formula units

Computed, not measured: a relaxed MnSb2Pt crystal at the GGA-PBE level of DFT.

Structure (POSCAR):
```
MnSb2Pt
1.0
0.0000 3.3975 3.3975
3.3975 0.0000 3.3975
3.3975 3.3975 0.0000
Mn Sb Pt
1 2 1
direct
0.0000 0.0000 0.0000 Mn
0.2500 0.2500 0.2500 Sb
0.7500 0.7500 0.7500 Sb
0.5000 0.5000 0.5000 Pt
```

Values from the calculation:
- Total energy: -5.756 eV/atom
- Total magnetic moment: 0.8313 μB/atom
- Excess energy over the best structure of this formula in the dataset: 1.085 eV per formula unit
- Theoretical density: 10.4 g/cm3
- Space-group type: Fm-3m (225)

Computed, not measured: a relaxed SbIrSN2 crystal at the GGA-PBE level of DFT.

Structure (POSCAR):
```
SbIrSN2
1.0
3.8755 0.0000 0.0000
0.0000 3.8755 0.0000
0.0000 0.0000 5.1376
Sb Ir S N
1 1 1 2
direct
0.0000 0.0000 0.0000 Sb
0.5000 0.5000 0.5000 Ir
0.5000 0.5000 0.0000 S
0.0000 0.5000 0.5000 N
0.5000 0.0000 0.5000 N
```

Values from the calculation:
- Total energy: -5.867 eV/atom
- Total magnetic moment: 0.0000 μB/atom
- Excess energy over the best structure of this formula in the dataset: 0.000 eV per formula unit
- Theoretical density: 8.0 g/cm3
- Space-group type: P4/mmm (123)